Record 1
Here is an optimized crystal structure of Er2In2Pd5 from Alexandria. Energies are from PBE-GGA.

Cell and atoms, written as CIF:
```
data_Er2In2Pd5
_chemical_formula_sum 'Er8 In8 Pd20'
_cell_length_a 13.863
_cell_length_b 6.147
_cell_length_c 8.450
_cell_angle_alpha 90.00
_cell_angle_beta 90.00
_cell_angle_gamma 90.00
_symmetry_space_group_name_H-M 'I m a 2'
_symmetry_Int_Tables_number 46
loop_
_symmetry_equiv_pos_as_xyz
'x,y,z'
'-x,-y,z'
'-x+1/2,y,z'
'x+1/2,-y,z'
'x+1/2,y+1/2,z+1/2'
'-x+1/2,-y+1/2,z+1/2'
'-x,y+1/2,z+1/2'
'x,-y+1/2,z+1/2'
loop_
_atom_site_label
_atom_site_fract_x
_atom_site_fract_y
_atom_site_fract_z
Er1 0.126 0.030 0.000
In1 0.000 0.000 0.420
In2 0.250 0.525 0.040
Pd1 0.052 0.184 0.710
Pd2 0.149 0.730 0.765
Pd3 0.250 0.195 0.260
```

Output
formation enthalpy at 0 K = -5.4 eV per formula unit
total magnetic moment = 0.000 μB per cell

Record 2
Here is an optimized crystal structure of TbErTm14 from Alexandria. Energies are from PBE-GGA.

Cell and atoms, written as CIF:
```
data_TbErTm14
_chemical_formula_sum 'Tb2 Er2 Tm28'
_cell_length_a 11.257
_cell_length_b 7.019
_cell_length_c 12.145
_cell_angle_alpha 90.00
_cell_angle_beta 90.00
_cell_angle_gamma 90.00
_symmetry_space_group_name_H-M 'A m m 2'
_symmetry_Int_Tables_number 38
loop_
_symmetry_equiv_pos_as_xyz
'x,y,z'
'-x,-y,z'
'-x,y,z'
'x,-y,z'
'x,y+1/2,z+1/2'
'-x,-y+1/2,z+1/2'
'-x,y+1/2,z+1/2'
'x,-y+1/2,z+1/2'
loop_
_atom_site_label
_atom_site_fract_x
_atom_site_fract_y
_atom_site_fract_z
Tb1 0.000 0.000 0.000
Er1 0.000 0.000 0.500
Tm1 0.000 0.250 0.250
Tm2 0.250 0.000 0.667
Tm3 0.251 0.000 0.167
Tm4 0.251 0.250 0.417
Tm5 0.500 0.000 0.334
Tm6 0.500 0.000 0.834
Tm7 0.500 0.250 0.084
```

Output
formation enthalpy at 0 K = 0.1 eV per formula unit
total magnetic moment = 0.000 μB per cell

Record 3
Here is an optimized crystal structure of MoAs2Au from Alexandria. Energies are from PBE-GGA.

Cell and atoms, written as CIF:
```
data_MoAs2Au
_chemical_formula_sum 'Mo3 As6 Au3'
_cell_length_a 2.9771
_cell_length_b 2.9771
_cell_length_c 30.8549
_cell_angle_alpha 90.00
_cell_angle_beta 90.00
_cell_angle_gamma 120.00
_symmetry_space_group_name_H-M 'R 3 m'
_symmetry_Int_Tables_number 160
_symmetry_space_group_name_Hall 'R 3 -2"'
loop_
_atom_site_label
_atom_site_fract_x
_atom_site_fract_y
_atom_site_fract_z
Mo1 0.0000 0.0000 0.0000
As1 0.0000 0.0000 0.5181
As2 0.0000 0.0000 0.7306
Au1 0.0000 0.0000 0.2583
```

Output
formation enthalpy at 0 K = 1.0 eV per formula unit
distance to the lowest polymorph of the same formula = 226.2 meV per atom
total magnetic moment = 0.355 μB per cell